{
  "formula": "MnFeP2O8",
  "functional": "GGA+U",
  "state": "optimized geometry",
  "cell": [[4.3111, 2.4890, 6.8812], [-4.3111, 2.4890, 6.8812], [0.0000, -4.9781, 6.8812]],
  "species": ["Mn", "Mn", "Mn", "Fe", "Fe", "Fe", "P", "P", "P", "P", "P", "P", "O", "O", "O", "O", "O", "O", "O", "O", "O", "O", "O", "O", "O", "O", "O", "O", "O", "O", "O", "O", "O", "O", "O", "O"],
  "frac_coords": [[0.0000, 0.0000, 0.0000], [0.2124, 0.2124, 0.2124], [0.7164, 0.7164, 0.7164], [0.3577, 0.3577, 0.3577], [0.5043, 0.5043, 0.5043], [0.8573, 0.8573, 0.8573], [0.1085, 0.3992, 0.8085], [0.3183, 0.9051, 0.6114], [0.3992, 0.8085, 0.1085], [0.6114, 0.3183, 0.9051], [0.8085, 0.1085, 0.3992], [0.9051, 0.6114, 0.3183], [0.0459, 0.2378, 0.8485], [0.1071, 0.4573, 0.3027], [0.1176, 0.9158, 0.7721], [0.1739, 0.3717, 0.9593], [0.2378, 0.8485, 0.0459], [0.2662, 0.4155, 0.6065], [0.3027, 0.1071, 0.4573], [0.3558, 0.7516, 0.5408], [0.3717, 0.9593, 0.1739], [0.4155, 0.6065, 0.2662], [0.4573, 0.3027, 0.1071], [0.4732, 0.8625, 0.6823], [0.5408, 0.3558, 0.7516], [0.5996, 0.7920, 0.9475], [0.6065, 0.2662, 0.4155], [0.6823, 0.4732, 0.8625], [0.7516, 0.5408, 0.3558], [0.7721, 0.1176, 0.9158], [0.7920, 0.9475, 0.5996], [0.8485, 0.0459, 0.2378], [0.8625, 0.6823, 0.4732], [0.9158, 0.7721, 0.1176], [0.9475, 0.5996, 0.7920], [0.9593, 0.1739, 0.3717]],
  "energy_ev_per_cell": -258.9,
  "total_magnetization_mub_per_cell": 25.00
}